1.
Hf4ReN: optimized geometry, PBE.

Properties
N(E_F)	0.59	states/eV per atom
raw formation energy	-0.54	eV per atom
crystal system	monoclinic
total energy	-10.635	eV/atom

a = 5.9687 Å, b = 6.3229 Å, c = 5.8758 Å
α = 99.50°, β = 90.00°, γ = 90.00°
Closest atoms and distances in Å follow each position.
Positions (direct):
1 Hf 0.1665 0.6849 0.1133  2 N 2.35-2.42
2 Hf 0.3335 0.1849 0.1133  2 N 2.35-2.42
3 Hf 0.6351 0.6135 0.3337  1 N 2.13
4 Hf 0.1351 0.8865 0.6663  1 N 2.13
5 Hf 0.8649 0.1135 0.3337  1 N 2.13
6 Hf 0.3649 0.3865 0.6663  1 N 2.13
7 Hf 0.6665 0.8151 0.8867  2 N 2.35-2.42
8 Hf 0.8335 0.3151 0.8867  2 N 2.35-2.42
9 Re 0.0000 0.5000 0.5000  4 Hf 2.54-2.61
10 Re 0.5000 0.0000 0.5000  4 Hf 2.54-2.61
11 N 0.5000 0.5000 0.0000  4 Hf 2.13-2.35
12 N 0.0000 0.0000 0.0000  4 Hf 2.13-2.35



2.
HfRe3N: optimized geometry, PBE.

Properties
excess energy over the best structure of this formula in the dataset	0	meV per atom
N(E_F)	0.70	states/eV per atom
raw formation energy	-0.02	eV per atom
crystal system	cubic
total energy	-11.142	eV/atom

a = 4.1455 Å, b = 4.1455 Å, c = 4.1455 Å
α = 90.00°, β = 90.00°, γ = 90.00°
Closest atoms and distances in Å follow each position.
Positions (direct):
1 Re 0.0000 0.5000 0.0000  2 N 2.07
2 Re 0.0000 0.0000 0.5000  2 N 2.07
3 Re 0.5000 0.0000 0.0000  2 N 2.07
4 Hf 0.5000 0.5000 0.5000  12 Re 2.93
5 N 0.0000 0.0000 0.0000  6 Re 2.07



3.
Hf4ReN2: optimized geometry, PBE.

Properties
N(E_F)	0.54	states/eV per atom
raw formation energy	-1.07	eV per atom
crystal system	orthorhombic
total energy	-10.918	eV/atom

a = 3.3179 Å, b = 5.8187 Å, c = 11.6249 Å
α = 90.00°, β = 90.00°, γ = 106.57°
Closest atoms and distances in Å follow each position.
Positions (direct):
1 Hf 0.2298 0.4595 0.6085  3 N 2.20-2.34
2 Hf 0.7702 0.5405 0.3915  3 N 2.20-2.34
3 Hf 0.7702 0.5405 0.1085  3 N 2.20-2.34
4 Hf 0.2298 0.4595 0.8915  3 N 2.20-2.34
5 Hf 0.9204 0.8408 0.7500  2 N 2.32
6 Hf 0.0796 0.1592 0.2500  2 N 2.32
7 Hf 0.5000 0.0000 0.0000  4 N 2.32
8 Hf 0.5000 0.0000 0.5000  4 N 2.32
9 Re 0.3956 0.7911 0.2500  6 Hf 2.64-2.72
10 Re 0.6044 0.2089 0.7500  6 Hf 2.64-2.72
11 N 0.8669 0.7339 0.9431  6 Hf 2.20-2.34
12 N 0.1331 0.2661 0.0569  6 Hf 2.20-2.34
13 N 0.8669 0.7339 0.5569  6 Hf 2.20-2.34
14 N 0.1331 0.2661 0.4431  6 Hf 2.20-2.34